Record 1
This record from the Alexandria database describes crystalline BeReNi2 at its relaxed geometry. The functional is PBE.

```
BeReNi2
1.0
-0.173 2.069 1.623
0.473 -1.576 2.059
6.279 1.035 -0.650
Ni Re Be
2 1 1
direct
0.500 0.500 0.238
0.000 0.000 0.967
0.000 0.000 0.516
0.500 0.500 0.779
```

Values from the calculation:
SG = P4mm, No. 99
Electronic total energy = -7.035 eV/atom
Energy of formation from the pure elements = -0.1004 eV/atom
Calculated volume = 44 Å³ per cell
Mass density = 11.68 g/cm³

=====

Record 2
This record from the Alexandria database describes crystalline Be2NiRh at its relaxed geometry. The functional is PBE.

```
Be2NiRh
1.0
6.978 -0.034 -0.020
6.472 2.610 -0.020
6.472 1.240 2.297
Be Ni Rh
2 1 1
direct
0.498 0.498 0.498
0.002 0.002 0.002
0.750 0.750 0.750
0.250 0.250 0.250
```

Values from the calculation:
SG = R-3m, No. 166
Electronic total energy = -5.370 eV/atom
Energy of formation from the pure elements = -0.2235 eV/atom
Calculated volume = 43 Å³ per cell
Mass density = 6.99 g/cm³

=====

Record 3
This record from the Alexandria database describes crystalline Be2NiRh2 at its relaxed geometry. The functional is PBE.

```
Be2NiRh2
1.0
-3.174 2.791 -4.393
-3.801 -4.759 -0.277
-1.710 1.248 2.028
Be Rh Ni
4 4 2
direct
0.371 0.871 0.000
0.129 0.371 0.000
0.871 0.629 0.000
0.629 0.129 0.000
0.831 0.331 0.500
0.331 0.169 0.500
0.669 0.831 0.500
0.169 0.669 0.500
0.000 0.000 0.000
0.500 0.500 0.000
```

Values from the calculation:
SG = P4/mbm, No. 127
Electronic total energy = -6.020 eV/atom
Energy of formation from the pure elements = -0.4322 eV/atom
Polymorph energy (0 for the lowest one) = 0 kJ/mol of formula units
Calculated volume = 109 Å³ per cell
Mass density = 8.61 g/cm³

=====

- Number 2 is which compound?
  Be2NiRh

=====

- Among the records above, which one has the lowest mass density?
  Be2NiRh

=====

Please write out number 2 again, unchanged.
This record from the Alexandria database describes crystalline Be2NiRh at its relaxed geometry. The functional is PBE.

```
Be2NiRh
1.0
6.978 -0.034 -0.020
6.472 2.610 -0.020
6.472 1.240 2.297
Be Ni Rh
2 1 1
direct
0.498 0.498 0.498
0.002 0.002 0.002
0.750 0.750 0.750
0.250 0.250 0.250
```

Values from the calculation:
SG = R-3m, No. 166
Electronic total energy = -5.370 eV/atom
Energy of formation from the pure elements = -0.2235 eV/atom
Calculated volume = 43 Å³ per cell
Mass density = 6.99 g/cm³

=====

- Which value of mass density does entry 1 give?
  11.68 g/cm³